Computed, not measured: crystalline ZnIn2P at its relaxed geometry at the PBE level of DFT.

Cell lengths 6.5799, 6.5799, 6.9857 Å; angles 61.90, 61.90, 90.00 degrees
With the nearest neighbours (Å) after each atom.
Positions (direct):
1 P 0.5000 0.5000 0.0000  4 In 2.60
2 P 0.2500 0.7500 0.5000  4 In 2.60
3 In 0.3750 0.3927 0.7500  2 P 2.60, 2 Zn 2.74
4 In 0.1427 0.6250 0.2500  2 P 2.60, 2 Zn 2.74
5 In 0.8750 0.8573 0.7500  2 P 2.60, 2 Zn 2.74
6 In 0.6073 0.1250 0.2500  2 P 2.60, 2 Zn 2.74
7 Zn 0.7500 0.2500 0.5000  4 In 2.74
8 Zn 0.0000 0.0000 0.0000  4 In 2.74

**Offset from the most stable computed form**: 134 meV/atom
**Electronic total energy**: -2.88 eV per atom
**Formation energy**: 0.1585 eV per atom
**Mass density**: 4.799 Mg/m³
**Spin magnetization**: 0.0 μB per formula unit

***

Computed, not measured: crystalline ZnIn2P4 at its relaxed geometry at the PBE level of DFT.

Cell lengths 4.2178, 4.2178, 10.8481 Å; angles 89.57, 89.57, 58.21 degrees
With the nearest neighbours (Å) after each atom.
Positions (direct):
1 P 0.3267 0.3267 0.7139  4 In 2.58-2.61
2 P 0.1141 0.1141 0.4532  1 P 2.08
3 P 0.2988 0.2988 0.3066  1 P 2.08
4 P 0.9966 0.9966 0.0324  1 Zn 2.37, 3 In 2.56-2.57
5 Zn 0.9522 0.9522 0.2487  5 P 2.37-2.64
6 In 0.3261 0.3261 0.9528  4 P 2.56-2.59
7 In 0.6519 0.6519 0.6244  5 P 2.58-2.78

**Offset from the most stable computed form**: 0 meV/atom
**Electronic total energy**: -4.06 eV per atom
**Formation energy**: -0.0034 eV per atom
**Mass density**: 4.241 Mg/m³
**Spin magnetization**: 0.0 μB per formula unit

***

Computed, not measured: crystalline Zn3InP at its relaxed geometry at the PBE level of DFT.

Cell lengths 5.1075, 5.1075, 5.1075 Å; angles 90.00, 90.00, 90.00 degrees
With the nearest neighbours (Å) after each atom.
Positions (direct):
1 Zn 0.0000 0.0000 0.5000  2 In 2.55
2 Zn 0.0000 0.5000 0.0000  2 In 2.55
3 Zn 0.5000 0.0000 0.0000  2 In 2.55
4 In 0.0000 0.0000 0.0000  6 Zn 2.55
5 P 0.5000 0.5000 0.5000  12 Zn 3.61

**Offset from the most stable computed form**: 611 meV/atom
**Electronic total energy**: -1.50 eV per atom
**Formation energy**: 0.8941 eV per atom
**Mass density**: 4.263 Mg/m³
**Spin magnetization**: 2.0 μB per formula unit

***

Computed, not measured: crystalline ZnInP at its relaxed geometry at the PBE level of DFT.

Cell lengths 5.6931, 3.9494, 6.8294 Å; angles 90.00, 113.82, 90.00 degrees
With the nearest neighbours (Å) after each atom.
Positions (direct):
1 In 0.0610 0.0000 0.5764  1 Zn 2.69, 3 P 2.78
2 In 0.0610 0.5000 0.0764  1 Zn 2.69, 3 P 2.78
3 P 0.7562 0.0000 0.1403  3 Zn 2.46
4 P 0.7562 0.5000 0.6403  3 Zn 2.46
5 Zn 0.5772 0.0000 0.7460  3 P 2.46, 1 In 2.69
6 Zn 0.5772 0.5000 0.2460  3 P 2.46, 1 In 2.69

**Offset from the most stable computed form**: 46 meV/atom
**Electronic total energy**: -3.17 eV per atom
**Formation energy**: -0.0253 eV per atom
**Mass density**: 4.993 Mg/m³
**Spin magnetization**: 0.0 μB per formula unit

***

Computed, not measured: crystalline ZnIn2P at its relaxed geometry at the PBE level of DFT.

Cell lengths 3.4642, 3.4642, 7.9580 Å; angles 90.00, 90.00, 90.00 degrees
With the nearest neighbours (Å) after each atom.
Positions (direct):
1 P 0.0000 0.0000 0.6543  4 Zn 2.47, 1 In 2.60
2 In 0.0000 0.0000 0.9809  1 P 2.60
3 In 0.5000 0.5000 0.2549  1 Zn 2.83
4 Zn 0.5000 0.5000 0.6099  4 P 2.47

**Offset from the most stable computed form**: 96 meV/atom
**Electronic total energy**: -2.92 eV per atom
**Formation energy**: 0.1201 eV per atom
**Mass density**: 5.669 Mg/m³
**Spin magnetization**: 0.0 μB per formula unit

***

Computed, not measured: crystalline ZrInP at its relaxed geometry at the PBE level of DFT.

Cell lengths 4.3932, 4.3932, 4.0291 Å; angles 90.00, 90.00, 120.00 degrees
With the nearest neighbours (Å) after each atom.
Positions (direct):
1 Zr 0.3333 0.6667 0.5000  3 P 2.54
2 In 0.0000 0.0000 0.0000  6 Zr 3.24, 6 P 3.24
3 P 0.6667 0.3333 0.5000  3 Zr 2.54

**Offset from the most stable computed form**: 253 meV/atom
**Electronic total energy**: -5.86 eV per atom
**Formation energy**: -0.2988 eV per atom
**Mass density**: 5.844 Mg/m³
**Spin magnetization**: 0.0 μB per formula unit

***

Computed, not measured: crystalline ZrIn3P at its relaxed geometry at the PBE level of DFT.

Cell lengths 5.0915, 5.0915, 5.0915 Å; angles 90.00, 90.00, 90.00 degrees
With the nearest neighbours (Å) after each atom.
Positions (direct):
1 P 0.0000 0.0000 0.0000  6 In 2.55
2 Zr 0.5000 0.5000 0.5000  12 In 3.60
3 In 0.5000 0.0000 0.0000  2 P 2.55
4 In 0.0000 0.5000 0.0000  2 P 2.55
5 In 0.0000 0.0000 0.5000  2 P 2.55

**Offset from the most stable computed form**: 0 meV/atom
**Electronic total energy**: -3.82 eV per atom
**Formation energy**: 0.6123 eV per atom
**Mass density**: 5.871 Mg/m³
**Spin magnetization**: 0.3 μB per formula unit

***

Computed, not measured: crystalline ZrInP2 at its relaxed geometry at the PBE level of DFT.

Cell lengths 3.2144, 3.2144, 8.2291 Å; angles 90.00, 90.00, 105.16 degrees
With the nearest neighbours (Å) after each atom.
Positions (direct):
1 P 0.0000 0.0000 0.4616  2 Zr 2.62
2 P 0.0000 0.0000 0.0384  2 Zr 2.62
3 Zr 0.5000 0.5000 0.2500  4 P 2.62
4 In 0.5000 0.5000 0.7500  4 P 3.07, 4 In 3.21

**Electronic total energy**: -5.83 eV per atom
**Formation energy**: -0.3011 eV per atom
**Mass density**: 5.422 Mg/m³
**Spin magnetization**: 0.0 μB per formula unit

***

Q: The highest mass density belongs to which entry?
A: ZrIn3P

***

Q: The lowest electronic total energy belongs to which entry?
A: ZrInP